RbWOF2 | Alexandria via LeMat-Bulk | PBE+U | optimized geometry; space-group type = P4/mmm (123); E_tot = -3.46 eV per atom; total moment = 0.811 μB per atom; excess energy over the best structure of this formula in the dataset = 2047 meV per atom
1.0
-2.6408 2.7093 2.9989
-1.7895 -3.9960 2.0342
3.3240 0.0010 2.9262
W O F Rb
1 1 2 1
direct
0.5000 0.5000 0.5000 W
0.0000 0.0000 0.5000 O
0.0000 0.5000 0.0000 F
0.5000 0.0000 0.0000 F
0.0000 0.0000 0.0000 Rb